The following is a PBE calculation of a relaxed structure of SbP2OsS, from the Alexandria database.

Cell: 4.4768 4.4768 5.1890 Å, 90.00 90.00 90.00°
Last column: nearest neighbours and their distance in Å.
Element x y z (fractional)
1 Sb 0.0000 0.0000 0.0000  4 S 3.17, 8 P 3.43
2 P 0.0000 0.5000 0.5000  2 Os 2.24
3 P 0.5000 0.0000 0.5000  2 Os 2.24
4 Os 0.5000 0.5000 0.5000  4 P 2.24
5 S 0.5000 0.5000 0.0000  2 Os 2.59

Values from the calculation:
**Calculated density**: 6.5 g/cm³
**Spin magnetization**: 0.0 μB/f.u.
**Calculated volume**: 104.00 Å³/cell
**Relative energy among the computed polymorphs**: 0 meV per atom
**Space-group type**: P4/mmm, No. 123